No. 1
# Sm2NiOs (PBE-GGA, relaxed)
data_Sm2NiOs
_symmetry_space_group_name_H-M 'P 4/m m m'
_symmetry_Int_Tables_number 123
_symmetry_space_group_name_Hall '-P 4 2'
_cell_length_a 4.9131
_cell_length_b 4.9131
_cell_length_c 3.4653
_cell_angle_alpha 90.00
_cell_angle_beta 90.00
_cell_angle_gamma 90.00
loop_
_atom_site_label
_atom_site_type_symbol
_atom_site_fract_x
_atom_site_fract_y
_atom_site_fract_z
_atom_site_occupancy
Sm1 Sm 0.0000 0.5000 0.0000 1
Ni1 Ni 0.0000 0.0000 0.5000 1
Os1 Os 0.5000 0.5000 0.5000 1
# * total energy: -0.494 Ry per atom

***

No. 2
# MnRe2Sb (PBE-GGA, relaxed)
data_MnRe2Sb
_symmetry_space_group_name_H-M 'P 4/m m m'
_symmetry_Int_Tables_number 123
_symmetry_space_group_name_Hall '-P 4 2'
_cell_length_a 4.4327
_cell_length_b 4.4327
_cell_length_c 3.1790
_cell_angle_alpha 90.00
_cell_angle_beta 90.00
_cell_angle_gamma 90.00
loop_
_atom_site_label
_atom_site_type_symbol
_atom_site_fract_x
_atom_site_fract_y
_atom_site_fract_z
_atom_site_occupancy
Mn1 Mn 0.0000 0.0000 0.0000 1
Re1 Re 0.0000 0.5000 0.5000 1
Sb1 Sb 0.5000 0.5000 0.0000 1
# * formation energy without anion corrections: 0.3996 eV/atom

***

No. 3
# MnOsN3 (PBE-GGA, relaxed)
data_MnOsN3
_symmetry_space_group_name_H-M 'P m -3 m'
_symmetry_Int_Tables_number 221
_symmetry_space_group_name_Hall '-P 4 2 3'
_cell_length_a 3.8452
_cell_length_b 3.8452
_cell_length_c 3.8452
_cell_angle_alpha 90.00
_cell_angle_beta 90.00
_cell_angle_gamma 90.00
loop_
_atom_site_label
_atom_site_type_symbol
_atom_site_fract_x
_atom_site_fract_y
_atom_site_fract_z
_atom_site_occupancy
Mn1 Mn 0.0000 0.0000 0.0000 1
Os1 Os 0.5000 0.5000 0.5000 1
N1 N 0.0000 0.5000 0.5000 1
# * formation energy without anion corrections: 0.9931 eV/atom

***

No. 4
# SnPt3Rh (PBE-GGA, relaxed)
data_SnPt3Rh
_symmetry_space_group_name_H-M 'C m c m'
_symmetry_Int_Tables_number 63
_symmetry_space_group_name_Hall '-C 2c 2'
_cell_length_a 4.0411
_cell_length_b 19.9446
_cell_length_c 4.0197
_cell_angle_alpha 90.00
_cell_angle_beta 90.00
_cell_angle_gamma 90.00
loop_
_atom_site_label
_atom_site_type_symbol
_atom_site_fract_x
_atom_site_fract_y
_atom_site_fract_z
_atom_site_occupancy
Sn1 Sn 0.0000 0.1479 0.2500 1
Pt1 Pt 0.0000 0.0519 0.7500 1
Pt2 Pt 0.0000 0.2492 0.7500 1
Pt3 Pt 0.0000 0.4512 0.7500 1
Rh1 Rh 0.0000 0.3494 0.2500 1
# * total energy: -0.452 Ry per atom

***

No. 5
# MgTiTl2Ru (PBE-GGA, relaxed)
data_MgTiTl2Ru
_symmetry_space_group_name_H-M 'P 4/m m m'
_symmetry_Int_Tables_number 123
_symmetry_space_group_name_Hall '-P 4 2'
_cell_length_a 5.0545
_cell_length_b 5.0545
_cell_length_c 4.6218
_cell_angle_alpha 90.00
_cell_angle_beta 90.00
_cell_angle_gamma 90.00
loop_
_atom_site_label
_atom_site_type_symbol
_atom_site_fract_x
_atom_site_fract_y
_atom_site_fract_z
_atom_site_occupancy
Mg1 Mg 0.0000 0.0000 0.0000 1
Ti1 Ti 0.5000 0.5000 0.5000 1
Tl1 Tl 0.0000 0.5000 0.0000 1
Ru1 Ru 0.0000 0.0000 0.5000 1
# * total energy: -0.257 Ry per atom

***

No. 6
# Tb6CeDy12 (PBE-GGA, relaxed)
data_Tb6CeDy12
_symmetry_space_group_name_H-M 'R -3 m'
_symmetry_Int_Tables_number 166
_symmetry_space_group_name_Hall '-R 3 2"'
_cell_length_a 13.2151
_cell_length_b 13.2151
_cell_length_c 12.4043
_cell_angle_alpha 90.00
_cell_angle_beta 90.00
_cell_angle_gamma 120.00
loop_
_atom_site_label
_atom_site_type_symbol
_atom_site_fract_x
_atom_site_fract_y
_atom_site_fract_z
_atom_site_occupancy
Tb1 Tb 0.0399 0.5199 0.1213 1
Ce1 Ce 0.0000 0.0000 0.5000 1
Dy1 Dy 0.0000 0.2574 0.0000 1
Dy2 Dy 0.0909 0.1817 0.7612 1
# * total energy: -0.328 Ry per atom

***

No. 7
# TlHg2Ru (PBE-GGA, relaxed)
data_TlHg2Ru
_symmetry_space_group_name_H-M 'I m m m'
_symmetry_Int_Tables_number 71
_symmetry_space_group_name_Hall '-I 2 2'
_cell_length_a 3.0603
_cell_length_b 4.5993
_cell_length_c 12.9658
_cell_angle_alpha 90.00
_cell_angle_beta 90.00
_cell_angle_gamma 90.00
loop_
_atom_site_label
_atom_site_type_symbol
_atom_site_fract_x
_atom_site_fract_y
_atom_site_fract_z
_atom_site_occupancy
Tl1 Tl 0.0000 0.0000 0.0000 1
Hg1 Hg 0.0000 0.5000 0.1862 1
Ru1 Ru 0.0000 0.0000 0.5000 1
# * total energy: -0.200 Ry per atom

***

No. 8
# SbW3Au (PBE-GGA, relaxed)
data_SbW3Au
_symmetry_space_group_name_H-M 'P m -3 m'
_symmetry_Int_Tables_number 221
_symmetry_space_group_name_Hall '-P 4 2 3'
_cell_length_a 4.8625
_cell_length_b 4.8625
_cell_length_c 4.8625
_cell_angle_alpha 90.00
_cell_angle_beta 90.00
_cell_angle_gamma 90.00
loop_
_atom_site_label
_atom_site_type_symbol
_atom_site_fract_x
_atom_site_fract_y
_atom_site_fract_z
_atom_site_occupancy
Sb1 Sb 0.0000 0.0000 0.0000 1
W1 W 0.0000 0.0000 0.5000 1
Au1 Au 0.5000 0.5000 0.5000 1
# * formation energy without anion corrections: 2.6179 eV/atom

***

No. 9
# RbErFe2Br8 (PBE-GGA, relaxed)
data_RbErFe2Br8
_symmetry_space_group_name_H-M 'C 1 2/m 1'
_symmetry_Int_Tables_number 12
_cell_length_a 11.2921
_cell_length_b 7.7566
_cell_length_c 10.1436
_cell_angle_alpha 90.00
_cell_angle_beta 95.48
_cell_angle_gamma 90.00
loop_
_symmetry_equiv_pos_as_xyz
'x,y,z'
'-x,-y,-z'
'-x,y,-z'
'x,-y,z'
'x+1/2,y+1/2,z'
'-x+1/2,-y+1/2,-z'
'-x+1/2,y+1/2,-z'
'x+1/2,-y+1/2,z'
loop_
_atom_site_label
_atom_site_type_symbol
_atom_site_fract_x
_atom_site_fract_y
_atom_site_fract_z
_atom_site_occupancy
Rb1 Rb 0.0000 0.0000 0.0000 1
Er1 Er 0.0000 0.0000 0.5000 1
Fe1 Fe 0.1240 0.5000 0.2883 1
Br1 Br 0.0142 0.2488 0.7015 1
Br2 Br 0.1951 0.5000 0.0773 1
Br3 Br 0.2463 0.0000 0.5036 1
# * formation energy without anion corrections: -1.0795 eV/atom

***

No. 10
# Rb2ErCd2Te4 (PBE-GGA, relaxed)
data_Rb2ErCd2Te4
_symmetry_space_group_name_H-M 'C 1 2/m 1'
_symmetry_Int_Tables_number 12
_cell_length_a 17.6381
_cell_length_b 4.4818
_cell_length_c 9.0245
_cell_angle_alpha 90.00
_cell_angle_beta 113.39
_cell_angle_gamma 90.00
loop_
_symmetry_equiv_pos_as_xyz
'x,y,z'
'-x,-y,-z'
'-x,y,-z'
'x,-y,z'
'x+1/2,y+1/2,z'
'-x+1/2,-y+1/2,-z'
'-x+1/2,y+1/2,-z'
'x+1/2,-y+1/2,z'
loop_
_atom_site_label
_atom_site_type_symbol
_atom_site_fract_x
_atom_site_fract_y
_atom_site_fract_z
_atom_site_occupancy
Rb1 Rb 0.1275 0.0000 0.0701 1
Er1 Er 0.0000 0.0000 0.5000 1
Cd1 Cd 0.1886 0.5000 0.5074 1
Te1 Te 0.0198 0.5000 0.2767 1
Te2 Te 0.1866 0.0000 0.7169 1
# * formation energy without anion corrections: -0.8621 eV/atom

***

No. 11
# La7SmDy2 (PBE-GGA, relaxed)
data_La7SmDy2
_symmetry_space_group_name_H-M 'C m m m'
_symmetry_Int_Tables_number 65
_symmetry_space_group_name_Hall '-C 2 2'
_cell_length_a 12.2334
_cell_length_b 17.2237
_cell_length_c 3.5408
_cell_angle_alpha 90.00
_cell_angle_beta 90.00
_cell_angle_gamma 90.00
loop_
_atom_site_label
_atom_site_type_symbol
_atom_site_fract_x
_atom_site_fract_y
_atom_site_fract_z
_atom_site_occupancy
La1 La 0.0000 0.0000 0.0000 1
La2 La 0.0000 0.1798 0.5000 1
La3 La 0.2438 0.1309 0.0000 1
Sm1 Sm 0.0000 0.5000 0.5000 1
Dy1 Dy 0.0000 0.3341 0.0000 1
# * total energy: -0.332 Ry per atom

***

No. 12
# CaY2Co (PBE-GGA, relaxed)
data_CaY2Co
_symmetry_space_group_name_H-M 'C 1 2/m 1'
_symmetry_Int_Tables_number 12
_cell_length_a 13.5407
_cell_length_b 3.7221
_cell_length_c 9.0050
_cell_angle_alpha 90.00
_cell_angle_beta 91.37
_cell_angle_gamma 90.00
loop_
_symmetry_equiv_pos_as_xyz
'x,y,z'
'-x,-y,-z'
'-x,y,-z'
'x,-y,z'
'x+1/2,y+1/2,z'
'-x+1/2,-y+1/2,-z'
'-x+1/2,y+1/2,-z'
'x+1/2,-y+1/2,z'
loop_
_atom_site_label
_atom_site_type_symbol
_atom_site_fract_x
_atom_site_fract_y
_atom_site_fract_z
_atom_site_occupancy
Ca1 Ca 0.1298 0.0000 0.4693 1
Y1 Y 0.0353 0.5000 0.8248 1
Y2 Y 0.2303 0.5000 0.1518 1
Co1 Co 0.0985 0.0000 0.0350 1
# * total energy: -0.412 Ry per atom

***

Short version: total magnetic moment = 0.0; 2.6; 4.6; 0.0; 0.0; 3.5; 0.0; 0.0; 16.0; 0.0; 0.0; 0.0 Bohr magnetons per cell, in the order given.
Short version: density = 10.91; 14.60; 8.39; 16.54; 8.18; 8.08; 12.86; 12.57; 3.77; 5.44; 6.44; 4.05 g/cm³, in the order given.